--- i ---
Entry from the Alexandria database: an optimized crystal structure of CsKTl2Rh (PBE).

V = 187 Å³/cell
total magnetization = 0.00 μB/atom
density of states at the Fermi level = 3.230 states/eV/f.u.
space-group type = P4/mmm

Cell and atoms, written as extended XYZ:
```
5
Lattice="-2.2798 -2.3159 -4.3331 4.6150 0.6292 -2.7644 1.9853 -5.7194 2.0124" Properties=species:S:1:pos:R:3 pbc="T T T"
K 2.1603 -3.7031 -2.5426
Rh 0.0000 0.0000 0.0000
Tl -1.1399 -1.1580 -2.1665
Cs 0.9926 -2.8597 1.0062
Tl 2.3075 0.3146 -1.3822
```

***

--- ii ---
Entry from the Alexandria database: an optimized crystal structure of CsKTl2Rh (PBE).

V = 181 Å³/cell
total magnetization = 0.00 μB/atom
density of states at the Fermi level = 2.693 states/eV/f.u.
space-group type = P4/mmm

Cell and atoms, written as extended XYZ:
```
5
Lattice="5.3996 0.0000 0.0000 0.0000 5.3996 0.0000 0.0000 0.0000 6.1977" Properties=species:S:1:pos:R:3 pbc="T T T"
Rh 0.0000 0.0000 0.0000
K 0.0000 0.0000 3.0989
Tl 2.6998 0.0000 0.0000
Cs 2.6998 2.6998 3.0989
Tl 0.0000 2.6998 0.0000
```

***

Which of them is most stable? Easy: ii.

***

--- i ---
Entry from the Alexandria database: an optimized crystal structure of CsK3Ru (PBE).

V = 258 Å³/cell
total magnetization = 0.00 μB/atom
density of states at the Fermi level = 13.927 states/eV/f.u.
space-group type = Pm-3m

Cell and atoms, written as extended XYZ:
```
5
Lattice="-0.0295 5.6007 -3.0303 1.9457 -2.8775 -5.3372 -6.0634 -0.9506 -1.6979" Properties=species:S:1:pos:R:3 pbc="T T T"
Cs -2.0736 0.8863 -5.0327
Ru 0.0000 0.0000 0.0000
K 0.9729 -1.4387 -2.6686
K -3.0317 -0.4753 -0.8490
K -0.0147 2.8003 -1.5151
```

***

--- ii ---
Entry from the Alexandria database: an optimized crystal structure of CsK3Ru (PBE).

V = 339 Å³/cell
total magnetization = 0.00 μB/atom
density of states at the Fermi level = 43.733 states/eV/f.u.
space-group type = Pm-3m

Cell and atoms, written as extended XYZ:
```
5
Lattice="-2.6461 -6.4041 -0.7657 1.8676 -1.5530 6.5346 -6.1734 2.2751 2.3051" Properties=species:S:1:pos:R:3 pbc="T T T"
K -3.0867 1.1376 1.1525
Ru -3.4759 -2.8410 4.0370
K 0.9338 -0.7765 3.2673
Cs 0.0000 0.0000 0.0000
K -1.3230 -3.2020 -0.3828
```

***

Which of them is most stable? Easy: i.

***

--- i ---
Entry from the Alexandria database: an optimized crystal structure of CsKRu3 (PBE).

V = 132 Å³/cell
total magnetization = 0.82 μB/atom
density of states at the Fermi level = 9.002 states/eV/f.u.
space-group type = Pm-3m

Cell and atoms, written as extended XYZ:
```
5
Lattice="5.0901 0.0000 0.0000 0.0000 5.0901 0.0000 0.0000 0.0000 5.0901" Properties=species:S:1:pos:R:3 pbc="T T T"
Cs 0.0000 0.0000 0.0000
Ru 0.0000 0.0000 2.5451
K 2.5451 2.5451 2.5451
Ru 2.5451 0.0000 0.0000
Ru 0.0000 2.5451 0.0000
```

***

--- ii ---
Entry from the Alexandria database: an optimized crystal structure of CsKRu3 (PBE).

V = 142 Å³/cell
total magnetization = 1.18 μB/atom
density of states at the Fermi level = 7.551 states/eV/f.u.
space-group type = Pm-3m

Cell and atoms, written as extended XYZ:
```
5
Lattice="-4.3549 -2.8620 0.0672 0.4002 -0.4874 5.1734 -2.8347 4.3281 0.6270" Properties=species:S:1:pos:R:3 pbc="T T T"
K 0.0000 0.0000 0.0000
Ru 0.2001 -0.2437 2.5867
Cs -3.3948 0.4894 2.9338
Ru -2.1775 -1.4310 0.0336
Ru -1.4174 2.1641 0.3135
```

***

Which of them is most stable? Easy: i.

***

--- i ---
Entry from the Alexandria database: an optimized crystal structure of Cs4K2S (PBE).

V = 597 Å³/cell
total magnetization = 0.00 μB/atom
density of states at the Fermi level = 3.181 states/eV/f.u.
space-group type = I4/mmm

Cell and atoms, written as extended XYZ:
```
7
Lattice="6.8464 0.0000 0.0000 0.0000 6.8464 0.0000 3.4232 3.4232 12.7396" Properties=species:S:1:pos:R:3 pbc="T T T"
Cs 6.8464 6.8464 3.2941
Cs 3.4232 0.0000 0.0000
K 3.4232 3.4232 4.7550
K 6.8464 6.8464 7.9846
Cs 3.4232 3.4232 9.4456
Cs 0.0000 3.4232 0.0000
S 0.0000 0.0000 0.0000
```

***

--- ii ---
Entry from the Alexandria database: an optimized crystal structure of Cs4K2S (PBE).

V = 493 Å³/cell
total magnetization = 0.00 μB/atom
density of states at the Fermi level = 4.469 states/eV/f.u.
space-group type = C2/m

Cell and atoms, written as extended XYZ:
```
7
Lattice="5.9393 0.0000 -2.0556 -1.2227 8.6643 -3.5326 0.0986 -0.7687 9.8929" Properties=species:S:1:pos:R:3 pbc="T T T"
Cs 4.9942 1.1791 4.8217
Cs 1.9256 5.9593 5.5635
Cs 2.8897 1.9364 -1.2589
K 0.7823 2.1887 2.2603
Cs -0.1790 6.7165 -0.5171
K 4.0329 5.7070 2.0444
S 0.0000 0.0000 0.0000
```

***

Which of them is most stable? Easy: i.

***

--- i ---
Entry from the Alexandria database: an optimized crystal structure of CsK3S (PBE).

V = 272 Å³/cell
total magnetization = 0.00 μB/atom
density of states at the Fermi level = 1.460 states/eV/f.u.
space-group type = Pm-3m

Cell and atoms, written as extended XYZ:
```
5
Lattice="6.4810 0.0000 0.0000 0.0000 6.4810 0.0000 0.0000 0.0000 6.4810" Properties=species:S:1:pos:R:3 pbc="T T T"
K 0.0000 3.2405 0.0000
Cs 3.2405 3.2405 3.2405
K 0.0000 0.0000 3.2405
K 3.2405 0.0000 0.0000
S 0.0000 0.0000 0.0000
```

***

--- ii ---
Entry from the Alexandria database: an optimized crystal structure of CsK3S (PBE).

V = 396 Å³/cell
total magnetization = 0.00 μB/atom
density of states at the Fermi level = 0.120 states/eV/f.u.
space-group type = Pm-3m

Cell and atoms, written as extended XYZ:
```
5
Lattice="7.3460 0.0000 0.0000 0.0000 7.3460 0.0000 0.0000 0.0000 7.3460" Properties=species:S:1:pos:R:3 pbc="T T T"
Cs 0.0000 0.0000 0.0000
K 0.0000 0.0000 3.6730
K 0.0000 3.6730 0.0000
S 3.6730 3.6730 3.6730
K 3.6730 0.0000 0.0000
```

***

Which of them is most stable? Easy: i.

***

--- i ---
Entry from the Alexandria database: an optimized crystal structure of Cs2KS (PBE).

V = 258 Å³/cell
total magnetization = 0.00 μB/atom
density of states at the Fermi level = 1.452 states/eV/f.u.
space-group type = R3m

Cell and atoms, written as extended XYZ:
```
4
Lattice="-1.2394 -0.0114 5.4923 2.7043 -3.4950 3.4890 7.0340 5.3841 4.4845" Properties=species:S:1:pos:R:3 pbc="T T T"
S 1.3865 -1.9273 6.0809
Cs 6.2574 4.6066 4.3076
Cs 1.4886 -0.1673 3.2216
K 3.6158 0.3045 6.5886
```

***

--- ii ---
Entry from the Alexandria database: an optimized crystal structure of Cs2KS (PBE).

V = 300 Å³/cell
total magnetization = 0.01 μB/atom
density of states at the Fermi level = 6.636 states/eV/f.u.
space-group type = R-3m

Cell and atoms, written as extended XYZ:
```
4
Lattice="5.0944 0.0000 0.0000 2.5472 4.4119 0.0000 2.5472 1.4706 13.3266" Properties=species:S:1:pos:R:3 pbc="T T T"
Cs 7.6415 4.4119 5.0312
Cs 2.5472 1.4706 8.2954
S 5.0944 2.9412 6.6633
K 0.0000 0.0000 0.0000
```

***

Which of them is most stable? Easy: i.